VASP calculation (PBE) on a geometry-optimized Ho3InS6 structure.

abc: 6.5871 8.5540 8.5540
angles: 102.75 90.00 90.00
Last column: nearest neighbours and their distance in Å.
Element x y z (fractional)
Ho1 0.4827 0.9119 0.7150  7 S 2.69-2.96
Ho2 0.9827 0.7150 0.9119  7 S 2.69-2.96
Ho3 0.3938 0.4047 0.5953  7 S 2.73-2.95
Ho4 0.8938 0.5953 0.4047  7 S 2.73-2.95
Ho5 0.9827 0.0881 0.2850  7 S 2.69-2.96
Ho6 0.4827 0.2850 0.0881  7 S 2.69-2.96
In1 0.0075 0.2018 0.7982  4 S 2.45-2.53
In2 0.5075 0.7982 0.2018  4 S 2.45-2.53
S1 0.1863 0.6938 0.6314  4 Ho 2.69-2.78
S2 0.6863 0.6314 0.6938  4 Ho 2.69-2.78
S3 0.2147 0.4458 0.9004  1 In 2.49, 1 Ho 2.75
S4 0.7147 0.9004 0.4458  1 In 2.49, 1 Ho 2.75
S5 0.1787 0.0328 0.9672  1 In 2.53
S6 0.6378 0.2199 0.7801  1 In 2.45
S7 0.1378 0.7801 0.2199  1 In 2.45
S8 0.6787 0.9672 0.0328  1 In 2.53
S9 0.2147 0.0996 0.5542  1 In 2.49, 1 Ho 2.75
S10 0.7147 0.5542 0.0996  1 In 2.49, 1 Ho 2.75
S11 0.1863 0.3686 0.3062  4 Ho 2.69-2.78
S12 0.6863 0.3062 0.3686  4 Ho 2.69-2.78

Results
Excess energy over the best structure of this formula in the dataset   0.0000 eV/atom



VASP calculation (PBE) on a geometry-optimized Ho2InS5 structure.

abc: 5.3706 7.2678 12.1928
angles: 90.00 90.00 111.68
Last column: nearest neighbours and their distance in Å.
Element x y z (fractional)
Ho1 0.8372 0.6744 0.4308  6 S 2.67-2.73
Ho2 0.8372 0.6744 0.0692  6 S 2.67-2.73
Ho3 0.1628 0.3256 0.5692  6 S 2.67-2.73
Ho4 0.1628 0.3256 0.9308  6 S 2.67-2.73
In1 0.8220 0.6441 0.7500  6 S 2.63-2.74
In2 0.1780 0.3559 0.2500  6 S 2.63-2.74
S1 0.9673 0.9346 0.8979  1 S 2.64, 1 In 2.66, 2 Ho 2.67-2.73
S2 0.9673 0.9346 0.6021  1 S 2.64, 1 In 2.66, 2 Ho 2.67-2.73
S3 0.3051 0.6101 0.4137  1 In 2.63, 3 Ho 2.70-2.73
S4 0.3051 0.6101 0.0863  1 In 2.63, 3 Ho 2.70-2.73
S5 0.7194 0.4388 0.2500  2 Ho 2.72, 2 In 2.74
S6 0.2806 0.5612 0.7500  2 Ho 2.72, 2 In 2.74
S7 0.6949 0.3899 0.5863  1 In 2.63, 3 Ho 2.70-2.73
S8 0.6949 0.3899 0.9137  1 In 2.63, 3 Ho 2.70-2.73
S9 0.0327 0.0654 0.1021  1 S 2.64, 1 In 2.66, 2 Ho 2.67-2.73
S10 0.0327 0.0654 0.3979  1 S 2.64, 1 In 2.66, 2 Ho 2.67-2.73



VASP calculation (PBE) on a geometry-optimized Ho3InS2 structure.

abc: 4.8993 6.6091 9.4762
angles: 90.00 90.00 111.76
Last column: nearest neighbours and their distance in Å.
Element x y z (fractional)
Ho1 0.6330 0.2659 0.0501  3 S 2.77-2.98
Ho2 0.1067 0.2135 0.7500  4 S 2.62-2.71
Ho3 0.6330 0.2659 0.4499  3 S 2.77-2.98
Ho4 0.8933 0.7865 0.2500  4 S 2.62-2.71
Ho5 0.3670 0.7341 0.9499  3 S 2.77-2.98
Ho6 0.3670 0.7341 0.5501  3 S 2.77-2.98
In1 0.2214 0.4428 0.2500  1 S 3.03, 8 Ho 3.23-3.36
In2 0.7786 0.5572 0.7500  1 S 3.03, 8 Ho 3.23-3.36
S1 0.0000 0.0000 0.0000  6 Ho 2.71-2.98
S2 0.0000 0.0000 0.5000  6 Ho 2.71-2.98
S3 0.4686 0.9372 0.2500  4 Ho 2.62-2.77
S4 0.5314 0.0628 0.7500  4 Ho 2.62-2.77



no.,raw formation energy (eV/atom)
1,-1.69
2,-1.29
3,-1.23